Density functional theory data (PBE-GGA) for a geometry-optimized Tb4InRu2Au structure.

Cell lengths 5.0318, 5.0318, 8.6916 Å; angles 73.17, 73.17, 60.00 degrees
Sites, in units of the cell vectors:
Tb  0.3783  0.3783  0.8650
Tb  0.8719  0.8719  0.3844
Tb  0.1281  0.1281  0.6156
Tb  0.6217  0.6217  0.1350
In  0.0000  0.0000  0.0000
Ru  0.7471  0.7471  0.7586
Ru  0.2529  0.2529  0.2414
Au  0.5000  0.5000  0.5000

Output
Crystal system: trigonal
Energy of formation, eV per atom: -0.439


Density functional theory data (PBE-GGA) for a geometry-optimized TbInRuAu structure.

Cell lengths 4.8263, 4.8263, 4.8263 Å; angles 60.00, 60.00, 60.00 degrees
Sites, in units of the cell vectors:
Ru  0.7500  0.7500  0.7500
Tb  0.5000  0.5000  0.5000
Au  0.2500  0.2500  0.2500
In  0.0000  0.0000  0.0000

Output
Crystal system: cubic
Energy of formation, eV per atom: -0.313


Density functional theory data (PBE-GGA) for a geometry-optimized InTeRuAu2 structure.

Cell lengths 5.1669, 5.8085, 5.1669 Å; angles 90.00, 90.00, 90.00 degrees
Sites, in units of the cell vectors:
Ru  0.5000  0.5000  0.5000
Te  0.0000  0.0000  0.0000
Au  0.0000  0.0000  0.5000
Au  0.5000  0.0000  0.0000
In  0.0000  0.5000  0.0000

Output
Crystal system: tetragonal
Formation energy without anion corrections, eV/f.u.: 6.68